# Ce3BiB2Rh9, relaxed, DFT PBE
data_Ce3BiB2Rh9
_chemical_formula_sum 'Ce3 Bi1 B2 Rh9'
_space_group_name_H-M_alt 'P -3 m 1'
_space_group_IT_number 164
_space_group_name_Hall '-P 3 2"'
_cell_length_a 5.8213
_cell_length_b 5.8213
_cell_length_c 9.2380
_cell_angle_alpha 90.00
_cell_angle_beta 90.00
_cell_angle_gamma 120.00
loop_
_atom_site_label
_atom_site_fract_x
_atom_site_fract_y
_atom_site_fract_z
_atom_site_occupancy
Ce1 0.0000 0.0000 0.0000 1
Ce2 0.3333 0.6667 0.7087 1
Bi1 0.0000 0.0000 0.5000 1
B1 0.3333 0.6667 0.1409 1
Rh1 0.0000 0.5000 0.0000 1
Rh2 0.1631 0.3263 0.2630 1
# * electronic total energy: -110.30 eV for the cell shown

***

# MnReTc2, relaxed, DFT PBE
data_MnReTc2
_chemical_formula_sum 'Mn3 Re3 Tc6'
_space_group_name_H-M_alt 'R 3 m'
_space_group_IT_number 160
_space_group_name_Hall 'R 3 -2"'
_cell_length_a 2.7083
_cell_length_b 2.7083
_cell_length_c 26.2876
_cell_angle_alpha 90.00
_cell_angle_beta 90.00
_cell_angle_gamma 120.00
loop_
_atom_site_label
_atom_site_fract_x
_atom_site_fract_y
_atom_site_fract_z
_atom_site_occupancy
Mn1 0.0000 0.0000 0.0000 1
Re1 0.0000 0.0000 0.7470 1
Tc1 0.0000 0.0000 0.2538 1
Tc2 0.0000 0.0000 0.5006 1
# * electronic total energy: -125.59 eV for the cell shown

***

# CeH2OsO8, relaxed, DFT PBE
data_CeH2OsO8
_chemical_formula_sum 'Ce1 H2 Os1 O8'
_space_group_name_H-M_alt 'P -1'
_space_group_IT_number 2
_cell_length_a 4.629
_cell_length_b 4.833
_cell_length_c 6.401
_cell_angle_alpha 89.64
_cell_angle_beta 88.80
_cell_angle_gamma 62.40
loop_
_space_group_symop_operation_xyz
'x,y,z'
'-x,-y,-z'
loop_
_atom_site_label
_atom_site_fract_x
_atom_site_fract_y
_atom_site_fract_z
_atom_site_occupancy
Ce1 0.000 0.000 0.000 1
H1 0.035 0.507 0.284 1
Os1 0.500 0.500 0.500 1
O1 0.152 0.636 0.286 1
O2 0.196 0.664 0.718 1
O3 0.419 0.163 0.976 1
O4 0.428 0.929 0.438 1
# * electronic total energy: -78.38 eV for the cell shown

***

# LiSe, relaxed, DFT PBE
data_LiSe
_chemical_formula_sum 'Li2 Se2'
_space_group_name_H-M_alt 'C m m m'
_space_group_IT_number 65
_space_group_name_Hall '-C 2 2'
_cell_length_a 3.998
_cell_length_b 4.680
_cell_length_c 3.817
_cell_angle_alpha 90.00
_cell_angle_beta 90.00
_cell_angle_gamma 90.00
loop_
_atom_site_label
_atom_site_fract_x
_atom_site_fract_y
_atom_site_fract_z
_atom_site_occupancy
Li1 0.000 0.000 0.000 1
Se1 0.000 0.500 0.500 1
# * ΔE to the lowest computed polymorph: 163 meV/atom
# * formation energy from raw total energies: -0.75 eV per atom
# * electronic total energy: -13.78 eV for the cell shown

***

# BaZn9Pd2, relaxed, DFT PBE
data_BaZn9Pd2
_chemical_formula_sum 'Ba1 Zn9 Pd2'
_space_group_name_H-M_alt 'P 6/m m m'
_space_group_IT_number 191
_space_group_name_Hall '-P 6 2'
_cell_length_a 8.4324
_cell_length_b 8.4324
_cell_length_c 3.7492
_cell_angle_alpha 90.00
_cell_angle_beta 90.00
_cell_angle_gamma 120.00
loop_
_atom_site_label
_atom_site_fract_x
_atom_site_fract_y
_atom_site_fract_z
_atom_site_occupancy
Ba1 0.0000 0.0000 0.0000 1
Zn1 0.0000 0.5000 0.0000 1
Zn2 0.2033 0.4067 0.5000 1
Pd1 0.3333 0.6667 0.0000 1
# * ΔE to the lowest computed polymorph: 108 meV/atom
# * electronic total energy: -26.39 eV for the cell shown

***

# SbRuCl2, relaxed, DFT PBE
data_SbRuCl2
_chemical_formula_sum 'Sb3 Ru3 Cl6'
_space_group_name_H-M_alt 'R 3 m'
_space_group_IT_number 160
_space_group_name_Hall 'R 3 -2"'
_cell_length_a 3.6303
_cell_length_b 3.6303
_cell_length_c 26.1288
_cell_angle_alpha 90.00
_cell_angle_beta 90.00
_cell_angle_gamma 120.00
loop_
_atom_site_label
_atom_site_fract_x
_atom_site_fract_y
_atom_site_fract_z
_atom_site_occupancy
Sb1 0.0000 0.0000 0.0000 1
Ru1 0.0000 0.0000 0.2768 1
Cl1 0.0000 0.0000 0.5497 1
Cl2 0.0000 0.0000 0.7435 1
# * ΔE to the lowest computed polymorph: 85 meV/atom
# * formation energy from raw total energies: -0.09 eV per atom
# * electronic total energy: -52.36 eV for the cell shown

***

# LiAgPt2, relaxed, DFT PBE
data_LiAgPt2
_chemical_formula_sum 'Li2 Ag2 Pt4'
_space_group_name_H-M_alt 'I -4 m 2'
_space_group_IT_number 119
_space_group_name_Hall 'I -4 -2'
_cell_length_a 4.034
_cell_length_b 4.034
_cell_length_c 7.610
_cell_angle_alpha 90.00
_cell_angle_beta 90.00
_cell_angle_gamma 90.00
loop_
_atom_site_label
_atom_site_fract_x
_atom_site_fract_y
_atom_site_fract_z
_atom_site_occupancy
Li1 0.000 0.000 0.000 1
Ag1 0.000 0.500 0.250 1
Pt1 0.000 0.000 0.500 1
Pt2 0.000 0.500 0.750 1
# * ΔE to the lowest computed polymorph: 142 meV/atom
# * electronic total energy: -35.33 eV for the cell shown

***

# Ac5Nd2Dy, relaxed, DFT PBE
data_Ac5Nd2Dy
_chemical_formula_sum 'Ac10 Nd4 Dy2'
_space_group_name_H-M_alt 'P b a m'
_space_group_IT_number 55
_cell_length_a 7.654
_cell_length_b 15.345
_cell_length_c 5.526
_cell_angle_alpha 90.00
_cell_angle_beta 90.00
_cell_angle_gamma 90.00
loop_
_space_group_symop_operation_xyz
'x,y,z'
'-x,-y,-z'
'-x,-y,z'
'x,y,-z'
'x+1/2,-y+1/2,-z'
'-x+1/2,y+1/2,z'
'-x+1/2,y+1/2,-z'
'x+1/2,-y+1/2,z'
loop_
_atom_site_label
_atom_site_fract_x
_atom_site_fract_y
_atom_site_fract_z
_atom_site_occupancy
Ac1 0.000 0.000 0.000 1
Ac2 0.011 0.255 0.000 1
Ac3 0.240 0.621 0.500 1
Nd1 0.244 0.876 0.500 1
Dy1 0.000 0.500 0.000 1
# * electronic total energy: -68.77 eV for the cell shown

***

# NiGe2Cl, relaxed, DFT PBE
data_NiGe2Cl
_chemical_formula_sum 'Ni4 Ge8 Cl4'
_space_group_name_H-M_alt 'F m -3 m'
_space_group_IT_number 225
_space_group_name_Hall '-F 4 2 3'
_cell_length_a 6.499
_cell_length_b 6.499
_cell_length_c 6.499
_cell_angle_alpha 90.00
_cell_angle_beta 90.00
_cell_angle_gamma 90.00
loop_
_atom_site_label
_atom_site_fract_x
_atom_site_fract_y
_atom_site_fract_z
_atom_site_occupancy
Ni1 0.000 0.000 0.000 1
Ge1 0.250 0.250 0.250 1
Cl1 0.000 0.000 0.500 1
# * ΔE to the lowest computed polymorph: 349 meV/atom
# * formation energy from raw total energies: 0.40 eV per atom
# * electronic total energy: -61.10 eV for the cell shown

***

# ThCd2Ni2, relaxed, DFT PBE
data_ThCd2Ni2
_chemical_formula_sum 'Th2 Cd4 Ni4'
_space_group_name_H-M_alt 'C 1 2/m 1'
_space_group_IT_number 12
_cell_length_a 9.993
_cell_length_b 3.839
_cell_length_c 5.360
_cell_angle_alpha 90.00
_cell_angle_beta 104.47
_cell_angle_gamma 90.00
loop_
_space_group_symop_operation_xyz
'x,y,z'
'-x,-y,-z'
'-x,y,-z'
'x,-y,z'
'x+1/2,y+1/2,z'
'-x+1/2,-y+1/2,-z'
'-x+1/2,y+1/2,-z'
'x+1/2,-y+1/2,z'
loop_
_atom_site_label
_atom_site_fract_x
_atom_site_fract_y
_atom_site_fract_z
_atom_site_occupancy
Th1 0.000 0.000 0.000 1
Cd1 0.150 0.500 0.573 1
Ni1 0.205 0.500 0.100 1
# * electronic total energy: -44.40 eV for the cell shown

***

# CdBiTe2N, relaxed, DFT PBE
data_CdBiTe2N
_chemical_formula_sum 'Cd1 Bi1 Te2 N1'
_space_group_name_H-M_alt 'P 4/m m m'
_space_group_IT_number 123
_space_group_name_Hall '-P 4 2'
_cell_length_a 5.133
_cell_length_b 5.133
_cell_length_c 4.533
_cell_angle_alpha 90.00
_cell_angle_beta 90.00
_cell_angle_gamma 90.00
loop_
_atom_site_label
_atom_site_fract_x
_atom_site_fract_y
_atom_site_fract_z
_atom_site_occupancy
Cd1 0.000 0.000 0.000 1
Bi1 0.500 0.500 0.000 1
Te1 0.000 0.500 0.500 1
N1 0.000 0.000 0.500 1
# * ΔE to the lowest computed polymorph: 0 meV/atom
# * formation energy from raw total energies: 0.51 eV per atom
# * electronic total energy: -16.87 eV for the cell shown

***

# HoPdRh, relaxed, DFT PBE
data_HoPdRh
_chemical_formula_sum 'Ho1 Pd1 Rh1'
_space_group_name_H-M_alt 'P -6 m 2'
_space_group_IT_number 187
_space_group_name_Hall 'P -6 2'
_cell_length_a 4.3606
_cell_length_b 4.3606
_cell_length_c 3.6066
_cell_angle_alpha 90.00
_cell_angle_beta 90.00
_cell_angle_gamma 120.00
loop_
_atom_site_label
_atom_site_fract_x
_atom_site_fract_y
_atom_site_fract_z
_atom_site_occupancy
Ho1 0.0000 0.0000 0.0000 1
Pd1 0.3333 0.6667 0.5000 1
Rh1 0.6667 0.3333 0.5000 1
# * ΔE to the lowest computed polymorph: 0 meV/atom
# * electronic total energy: -19.00 eV for the cell shown

***

# Fe2Ni8Pd, relaxed, DFT PBE
data_Fe2Ni8Pd
_chemical_formula_sum 'Fe2 Ni8 Pd1'
_space_group_name_H-M_alt 'P 1'
_space_group_IT_number 1
_cell_length_a 4.292
_cell_length_b 5.050
_cell_length_c 6.806
_cell_angle_alpha 111.57
_cell_angle_beta 101.85
_cell_angle_gamma 91.04
loop_
_space_group_symop_operation_xyz
'x,y,z'
loop_
_atom_site_label
_atom_site_fract_x
_atom_site_fract_y
_atom_site_fract_z
_atom_site_occupancy
Fe1 0.000 0.000 0.000 1
Fe2 0.213 0.315 0.636 1
Ni1 0.221 0.835 0.658 1
Ni2 0.265 0.423 0.318 1
Ni3 0.487 0.250 0.981 1
Ni4 0.488 0.746 0.974 1
Ni5 0.718 0.583 0.654 1
Ni6 0.719 0.085 0.662 1
Ni7 0.746 0.181 0.318 1
Ni8 0.997 0.495 0.975 1
Pd1 0.774 0.693 0.317 1
# * ΔE to the lowest computed polymorph: 121 meV/atom
# * electronic total energy: -67.36 eV for the cell shown